Material: Rb2LaFeF6
Method: DFT, PBE+U
State: relaxed

Cell: 7.160 7.160 6.652 Å, 57.44 57.44 90.00°
Fractional positions:
F (0.276, 0.276, 0.449)
F (0.724, 0.724, 0.551)
F (0.227, 0.227, 0.000)
F (0.773, 0.773, 0.000)
F (0.773, 0.227, 0.000)
F (0.227, 0.773, 0.000)
Fe (0.500, 0.500, 0.000)
Rb (0.750, 0.250, 0.500)
Rb (0.250, 0.750, 0.500)
La (0.000, 0.000, 0.000)

Summary:
magnetization: 3.04 μB/f.u.
DFT total energy: -5.21 eV per atom
N(E_F): 1.651 states/eV/f.u.